(1)
{
  "formula": "TbDy3Rh",
  "functional": "PBE-GGA",
  "state": "relaxed",
  "lattice": [[7.557, 0.000, 0.000], [0.000, 6.500, 0.000], [0.000, 0.000, 6.147]],
  "species": ["Tb", "Tb", "Dy", "Dy", "Dy", "Dy", "Dy", "Dy", "Rh", "Rh"],
  "frac_coords": [[0.000, 0.150, 0.000], [0.500, 0.850, 0.500], [0.000, 0.848, 0.485], [0.250, 0.314, 0.493], [0.250, 0.686, 0.993], [0.500, 0.152, 0.985], [0.750, 0.314, 0.493], [0.750, 0.686, 0.993], [0.000, 0.501, 0.743], [0.500, 0.499, 0.243]],
  "formation_energy_mev_per_atom": -293,
  "m_tot_mub_per_atom": 0.000
}



(2)
{
  "formula": "CaTaGe",
  "functional": "PBE-GGA",
  "state": "relaxed",
  "lattice": [[4.313, 0.000, 0.000], [0.000, 3.758, 0.000], [-2.155, 0.000, 8.227]],
  "species": ["Ca", "Ca", "Ta", "Ta", "Ge", "Ge"],
  "frac_coords": [[0.171, 0.000, 0.340], [0.829, 0.000, 0.660], [0.000, 0.500, 0.000], [0.500, 0.000, 0.000], [0.381, 0.500, 0.763], [0.619, 0.500, 0.237]],
  "formation_energy_mev_per_atom": -303,
  "m_tot_mub_per_atom": 0.000
}



(3)
{
  "formula": "PuPAuO6",
  "functional": "PBE-GGA",
  "state": "relaxed",
  "lattice": [[2.546, -4.683, 0.000], [2.546, 4.683, 0.000], [-1.358, 0.000, 5.966]],
  "species": ["Pu", "P", "Au", "O", "O", "O", "O", "O", "O"],
  "frac_coords": [[0.000, 0.000, 0.000], [0.660, 0.340, 0.000], [0.792, 0.208, 0.500], [0.343, 0.039, 0.832], [0.414, 0.358, 0.165], [0.642, 0.586, 0.835], [0.704, 0.111, 0.161], [0.889, 0.296, 0.839], [0.961, 0.657, 0.168]],
  "formation_energy_uncorrected_mev_per_atom": -1597,
  "m_tot_mub_per_atom": 0.222
}